*i*
DFT (PBEsol) results for a relaxed LiCaSb2 crystal.

Calculated values
Its volume is 99.5 Å³/f.u. The value obtained for the density of states at the Fermi level is 0.416 states/eV per atom. The calculation puts the magnetization at 0.00 Bohr magnetons per cell.

Cell lengths 3.989, 4.667, 6.163 Å; angles 112.25, 108.88, 90.00 degrees
Atoms (fractional coordinates):
Sb  0.012  0.012  0.024
Sb  0.734  0.234  0.468
Ca  0.497  0.497  0.993
Li  0.257  0.757  0.515

*ii*
DFT (PBEsol) results for a relaxed LiCaSb2 crystal.

Calculated values
Its volume is 101.0 Å³/f.u. The value obtained for the density of states at the Fermi level is 0.387 states/eV per atom. The calculation puts the magnetization at 0.00 Bohr magnetons per cell.

Cell lengths 3.607, 3.607, 9.200 Å; angles 78.70, 78.70, 60.00 degrees
Atoms (fractional coordinates):
Sb  0.744  0.744  0.768
Sb  0.256  0.256  0.232
Ca  0.500  0.500  0.500
Li  0.000  0.000  0.000

Need the numbers? Relative energies in meV/atom: *i* 0; *ii* 80.

*i*
DFT (PBEsol) results for a relaxed LiCu2Pt crystal.

Calculated values
Its volume is 49.6 Å³/f.u. The value obtained for the density of states at the Fermi level is 0.266 states/eV per atom. The calculation puts the magnetization at 0.00 Bohr magnetons per cell.

Cell lengths 2.880, 4.182, 4.835 Å; angles 115.62, 107.33, 90.00 degrees
Atoms (fractional coordinates):
Li  0.508  0.508  0.015
Cu  0.991  0.991  0.981
Pt  0.749  0.249  0.498
Cu  0.253  0.753  0.506

*ii*
DFT (PBEsol) results for a relaxed LiCu2Pt crystal.

Calculated values
Its volume is 48.1 Å³/f.u. The value obtained for the density of states at the Fermi level is 0.315 states/eV per atom. The calculation puts the magnetization at 0.00 Bohr magnetons per cell.

Cell lengths 2.878, 4.024, 4.833 Å; angles 114.61, 107.32, 90.00 degrees
Atoms (fractional coordinates):
Cu  0.258  0.258  0.516
Cu  0.742  0.742  0.484
Pt  0.500  0.000  0.000
Li  0.000  0.500  0.000

Need the numbers? Relative energies in meV/atom: *i* 0; *ii* 12.

*i*
DFT (PBEsol) results for a relaxed LiFePO4 crystal.

Calculated values
Its volume is 69.6 Å³/f.u. The value obtained for the density of states at the Fermi level is 0.259 states/eV per atom. The calculation puts the magnetization at 8.00 Bohr magnetons per cell.

Cell lengths 4.853, 5.341, 6.031 Å; angles 90.22, 90.00, 117.02 degrees
Site moments in Bohr magnetons follow the coordinates.
Atoms (fractional coordinates):
O  0.787  0.705  0.251  0.09
O  0.662  0.721  0.751  0.06
Li  0.329  0.646  0.250  0.00
P  0.307  0.624  0.751  0.01
O  0.487  0.268  0.038  0.06
Fe  0.030  0.000  0.000  3.59
O  0.082  0.295  0.749  0.09
P  0.683  0.376  0.249  0.01
O  0.219  0.732  0.962  0.06
Li  0.682  0.354  0.750  0.00
O  0.488  0.268  0.460  0.06
Fe  0.033  0.000  0.500  3.59
O  0.941  0.279  0.249  0.06
O  0.220  0.732  0.540  0.06

*ii*
DFT (PBEsol) results for a relaxed LiFePO4 crystal.

Calculated values
Its volume is 89.5 Å³/f.u. The calculation puts the magnetization at 16.00 Bohr magnetons per cell.

Cell lengths 7.099, 7.099, 7.099 Å; angles 90.00, 90.00, 90.00 degrees
Site moments in Bohr magnetons follow the coordinates.
Atoms (fractional coordinates):
P  0.537  0.537  0.537  0.02
O  0.108  0.173  0.465  0.08
O  0.965  0.392  0.827  0.08
Fe  0.245  0.245  0.245  3.55
Fe  0.755  0.745  0.255  3.55
O  0.035  0.892  0.673  0.08
O  0.827  0.965  0.392  0.08
O  0.173  0.465  0.108  0.08
O  0.465  0.108  0.173  0.08
O  0.659  0.659  0.659  0.02
O  0.159  0.841  0.341  0.02
P  0.963  0.463  0.037  0.02
P  0.463  0.037  0.963  0.02
O  0.608  0.327  0.535  0.08
Li  0.307  0.693  0.193  0.00
O  0.841  0.341  0.159  0.02
Li  0.193  0.307  0.693  0.00
O  0.673  0.035  0.892  0.08
Fe  0.255  0.755  0.745  3.55
O  0.392  0.827  0.965  0.08
O  0.535  0.608  0.327  0.08
Fe  0.745  0.255  0.755  3.55
O  0.892  0.673  0.035  0.08
P  0.037  0.963  0.463  0.02
O  0.327  0.535  0.608  0.08
Li  0.693  0.193  0.307  0.00
Li  0.807  0.807  0.807  0.00
O  0.341  0.159  0.841  0.02

Need the numbers? Relative energies in meV/atom: *i* 0; *ii* 25.

*i*
DFT (PBEsol) results for a relaxed Ba2OsBr crystal.

Calculated values
Its volume is 115.5 Å³/f.u. The value obtained for the density of states at the Fermi level is 0.756 states/eV per atom. The calculation puts the magnetization at 0.00 Bohr magnetons per cell.

Cell lengths 3.689, 3.689, 8.484 Å; angles 90.00, 89.97, 90.00 degrees
Atoms (fractional coordinates):
Ba  0.000  0.000  0.778
Br  0.500  0.500  0.500
Ba  0.000  0.000  0.222
Os  0.500  0.500  0.000

*ii*
DFT (PBEsol) results for a relaxed Ba2OsBr crystal.

Calculated values
Its volume is 110.2 Å³/f.u. The value obtained for the density of states at the Fermi level is 1.454 states/eV per atom. The calculation puts the magnetization at 1.01 Bohr magnetons per cell.

Cell lengths 5.381, 5.381, 5.381 Å; angles 60.00, 60.00, 60.00 degrees
Site moments in Bohr magnetons follow the coordinates.
Atoms (fractional coordinates):
Os  0.250  0.250  0.250  0.97
Ba  0.750  0.750  0.750  -0.05
Br  0.500  0.500  0.500  0.05
Ba  0.000  0.000  0.000  -0.02

Need the numbers? Relative energies in meV/atom: *i* 0; *ii* 722.

*i*
DFT (PBEsol) results for a relaxed La3Te crystal.

Calculated values
Its volume is 128.5 Å³/f.u. The value obtained for the density of states at the Fermi level is 1.143 states/eV per atom. The calculation puts the magnetization at 0.00 Bohr magnetons per cell.

Cell lengths 6.355, 7.954, 10.171 Å; angles 90.00, 90.00, 90.00 degrees
Atoms (fractional coordinates):
La  0.883  0.701  0.535
La  0.617  0.201  0.965
Te  0.896  0.401  0.750
La  0.383  0.799  0.465
La  0.117  0.299  0.465
La  0.877  0.972  0.250
Te  0.604  0.901  0.750
La  0.883  0.701  0.965
La  0.377  0.528  0.750
La  0.623  0.472  0.250
La  0.617  0.201  0.535
La  0.117  0.299  0.035
Te  0.104  0.599  0.250
La  0.383  0.799  0.035
La  0.123  0.028  0.750
Te  0.396  0.099  0.250

*ii*
DFT (PBEsol) results for a relaxed La3Te crystal.

Calculated values
Its volume is 123.9 Å³/f.u. The value obtained for the density of states at the Fermi level is 1.050 states/eV per atom. The calculation puts the magnetization at 0.00 Bohr magnetons per cell.

Cell lengths 3.810, 5.667, 6.165 Å; angles 101.22, 108.00, 90.00 degrees
Atoms (fractional coordinates):
La  0.500  0.500  0.000
La  0.273  0.778  0.547
La  0.727  0.222  0.453
Te  0.000  0.000  0.000

*iii*
DFT (PBEsol) results for a relaxed La3Te crystal.

Calculated values
Its volume is 119.7 Å³/f.u. The value obtained for the density of states at the Fermi level is 0.948 states/eV per atom. The calculation puts the magnetization at 0.00 Bohr magnetons per cell.

Cell lengths 3.766, 5.751, 5.751 Å; angles 106.02, 90.00, 90.00 degrees
Atoms (fractional coordinates):
La  0.500  0.000  0.500
Te  0.000  0.000  0.000
La  0.000  0.500  0.500
La  0.500  0.500  0.000

Need the numbers? Relative energies in meV/atom: *i* 0; *ii* 132; *iii* 116.

*i*
DFT (PBEsol) results for a relaxed NiHgCl2 crystal.

Calculated values
Its volume is 89.0 Å³/f.u. The value obtained for the density of states at the Fermi level is 0.263 states/eV per atom. The calculation puts the magnetization at 0.00 Bohr magnetons per cell.

Cell lengths 3.279, 3.634, 8.365 Å; angles 90.00, 90.00, 116.82 degrees
Atoms (fractional coordinates):
Hg  0.000  0.000  0.528
Cl  0.000  0.000  0.918
Ni  0.500  0.000  0.755
Cl  0.500  0.000  0.298

*ii*
DFT (PBEsol) results for a relaxed NiHgCl2 crystal.

Calculated values
Its volume is 86.7 Å³/f.u. The value obtained for the density of states at the Fermi level is 0.204 states/eV per atom. The calculation puts the magnetization at 1.93 Bohr magnetons per cell.

Cell lengths 3.374, 3.374, 9.008 Å; angles 79.21, 79.21, 60.00 degrees
Site moments in Bohr magnetons follow the coordinates.
Atoms (fractional coordinates):
Hg  0.500  0.500  0.500  0.02
Cl  0.716  0.716  0.851  0.21
Cl  0.284  0.284  0.149  0.21
Ni  0.000  0.000  0.000  1.37

Need the numbers? Relative energies in meV/atom: *i* 200; *ii* 0.